1.
5
Lattice="5.0490 0.0000 0.0000 0.0000 5.0490 0.0000 0.0000 0.0000 5.0490" Properties=species:S:1:pos:R:3 comment="SrBe3Co PBE optimized geometry" m_tot_mub_per_cell=0.1 ef_ev_per_atom=2.7882 e_tot_ev_per_cell=-6.03 volume_a3_per_atom=25.742 space_group=Pm-3m pbc="T T T"
Sr 0.0000 0.0000 0.0000
Co 2.5245 2.5245 2.5245
Be 0.0000 2.5245 0.0000
Be 0.0000 0.0000 2.5245
Be 2.5245 0.0000 0.0000

---

2.
4
Lattice="-6.9659 -2.9976 2.9773 -5.0891 -5.7169 2.7916 -4.8356 -3.7070 5.4083" Properties=species:S:1:pos:R:3 comment="ZrIrS2 PBE optimized geometry" m_tot_mub_per_cell=0.0 e_tot_ev_per_cell=-27.79 volume_a3_per_atom=18.778 formation_energy_uncorrected_ev_per_atom=-0.53 space_group=R-3m pbc="T T T"
S -15.2826 -11.2390 10.1132
S -1.6080 -1.1825 1.0641
Ir 0.0000 0.0000 0.0000
Zr -8.4453 -6.2108 5.5886

---

3.
7
Lattice="-4.6186 -2.6764 -0.5130 2.5540 -3.8990 -2.6520 0.2010 -6.5678 4.4278" Properties=species:S:1:pos:R:3 comment="Ta2IrPb4 PBE optimized geometry" m_tot_mub_per_cell=0.0 ef_ev_per_atom=0.9734 e_tot_ev_per_cell=-40.59 volume_a3_per_atom=28.582 space_group=I4/mmm pbc="T T T"
Pb -1.5785 -7.8682 -0.7961
Pb -0.2851 -5.2750 2.0589
Pb 1.2770 -1.9495 -1.3260
Pb -2.3093 -1.3382 -0.2565
Ir 0.0000 0.0000 0.0000
Ta -1.0586 -9.2511 1.7376
Ta -0.8050 -3.8922 -0.4748

---

- Which formula does entry 3 have?
  Ta2IrPb4